# 1
Computed, not measured: crystalline Ho2GeI3 at its relaxed geometry at the PBE level of DFT.

Cell: 20.664 4.149 14.580 Å, 90.00 129.62 90.00°
Space group C2/m (No. 12)
One atom of each set of equivalent atoms:
Ho 0.100 0.000 0.230 (multiplicity 4)
Ho 0.126 0.500 0.945 (multiplicity 4)
Ge 0.061 0.000 0.001 (multiplicity 4)
I 0.037 0.500 0.320 (multiplicity 4)
I 0.182 0.000 0.843 (multiplicity 4)
I 0.240 0.500 0.348 (multiplicity 4)

Values from the calculation:
Uncorrected energy   -4.09 eV per atom
ΔE_f (raw)   -1024 meV/atom
Fermi-level density of states   0.07 states/eV per atom

# 2
Computed, not measured: crystalline RbHoGeI6 at its relaxed geometry at the PBE level of DFT.

Cell: 7.8421 7.8421 8.2018 Å, 90.00 90.00 120.00°
Space group P312 (No. 149)
One atom of each set of equivalent atoms:
Rb 0.0000 0.0000 0.0000 (multiplicity 1)
Ho 0.6667 0.3333 0.5000 (multiplicity 1)
Ge 0.3333 0.6667 0.5000 (multiplicity 1)
I 0.0000 0.3712 0.7128 (multiplicity 6)

Values from the calculation:
Uncorrected energy   -3.23 eV per atom
ΔE_f (raw)   -1062 meV/atom
Fermi-level density of states   0.00 states/eV per atom

# 3
Computed, not measured: crystalline RbHoGe2I8 at its relaxed geometry at the PBE level of DFT.

Cell: 7.234 7.881 10.543 Å, 91.57 91.78 96.31°
Space group P-1 (No. 2)
One atom of each set of equivalent atoms:
Rb 0.000 0.000 0.000 (multiplicity 1)
Ho 0.000 0.000 0.500 (multiplicity 1)
Ge 0.437 0.563 0.297 (multiplicity 2)
I 0.225 0.690 0.489 (multiplicity 2)
I 0.228 0.181 0.303 (multiplicity 2)
I 0.260 0.631 0.083 (multiplicity 2)
I 0.267 0.142 0.716 (multiplicity 2)

Values from the calculation:
Uncorrected energy   -3.07 eV per atom
ΔE_f (raw)   -807 meV/atom
Fermi-level density of states   0.00 states/eV per atom

# 4
Computed, not measured: crystalline Ho7InGe5 at its relaxed geometry at the PBE level of DFT.

Cell: 5.906 10.881 9.897 Å, 90.00 90.00 90.00°
Space group Imm2 (No. 44)
One atom of each set of equivalent atoms:
Ho 0.000 0.000 0.000 (multiplicity 2)
Ho 0.000 0.000 0.367 (multiplicity 2)
Ho 0.000 0.331 0.638 (multiplicity 4)
Ho 0.000 0.334 0.094 (multiplicity 4)
Ho 0.000 0.500 0.353 (multiplicity 2)
In 0.000 0.000 0.681 (multiplicity 2)
Ge 0.000 0.500 0.863 (multiplicity 2)
Ge 0.230 0.262 0.371 (multiplicity 8)

Values from the calculation:
Energy relative to the elements   -508 meV/atom
Uncorrected energy   -4.96 eV per atom
Fermi-level density of states   0.82 states/eV per atom

These records have total magnetization values of 0.0 0.0 0.0 0.0 μB/cell, in the order they appear.
These records have volume values of 40.115 48.536 49.738 24.461 Å³/atom, in the order they appear.